The following is a PBE-GGA calculation of a geometry-optimized K4Na2HgAu2 structure, from Alexandria.

Values from the calculation:
The calculation puts the calculated total energy at -1.738 eV per atom. As for the size of the total moment: 0.000 μB per atom. The calculation puts the formation energy at -195.5 meV per atom.

Cell: 6.642 8.070 8.193 Å, 115.76 111.73 69.91°
Element x y z (fractional)
K 0.515 0.719 0.933
K 0.748 0.718 0.522
K 0.485 0.281 0.067
K 0.252 0.282 0.478
Na 0.085 0.796 0.292
Na 0.915 0.204 0.708
Hg 0.000 0.000 0.000
Au 0.950 0.424 0.117
Au 0.050 0.576 0.883


The following is a PBE-GGA calculation of a geometry-optimized TiSi2Ru2 structure, from Alexandria.

Values from the calculation:
The calculation puts the calculated total energy at -8.051 eV per atom. As for the size of the total moment: 0.000 μB per atom. For the uncorrected formation energy, the calculation gives -0.59 eV per atom.

Cell: 7.004 7.004 2.822 Å, 90.00 90.00 90.00°
Element x y z (fractional)
Ru 0.152 0.652 0.500
Ru 0.652 0.848 0.500
Ru 0.848 0.348 0.500
Ru 0.348 0.152 0.500
Si 0.357 0.857 0.000
Si 0.857 0.643 0.000
Si 0.643 0.143 0.000
Si 0.143 0.357 0.000
Ti 0.000 0.000 0.000
Ti 0.500 0.500 0.000


The following is a PBE-GGA calculation of a geometry-optimized Be8Nb3Co structure, from Alexandria.

Values from the calculation:
The calculation puts the calculated total energy at -5.812 eV per atom. As for the size of the total moment: 0.000 μB per atom. The calculation puts the formation energy at -218.5 meV per atom.

Cell: 4.502 4.502 7.828 Å, 73.29 73.29 60.00°
Element x y z (fractional)
Be 0.936 0.437 0.191
Be 0.435 0.941 0.684
Be 0.437 0.437 0.191
Be 0.941 0.941 0.684
Be 0.188 0.188 0.437
Be 0.687 0.687 0.939
Be 0.437 0.936 0.191
Be 0.941 0.435 0.684
Nb 0.376 0.376 0.872
Nb 0.995 0.995 0.016
Nb 0.503 0.503 0.490
Co 0.876 0.876 0.372


The following is a PBE-GGA calculation of a geometry-optimized CoTeSe structure, from Alexandria.

Values from the calculation:
The calculation puts the calculated total energy at -4.808 eV per atom. As for the size of the total moment: 0.000 μB per atom. The energy above the lowest structure with this stoichiometry comes out at 0.0 meV/atom. For the uncorrected formation energy, the calculation gives -0.23 eV per atom.

Cell: 3.638 3.638 5.395 Å, 90.00 90.00 120.00°
Element x y z (fractional)
Te 0.667 0.333 0.752
Co 0.000 0.000 0.018
Se 0.333 0.667 0.230


The following is a PBE-GGA calculation of a geometry-optimized La5Pr2In5 structure, from Alexandria.

Values from the calculation:
The calculation puts the calculated total energy at -4.380 eV per atom. As for the size of the total moment: 0.000 μB per atom. The calculation puts the formation energy at -389.4 meV per atom.

Cell: 4.579 10.808 8.235 Å, 99.97 73.86 77.77°
Element x y z (fractional)
La 0.681 0.242 0.396
La 0.005 0.243 0.747
La 0.995 0.757 0.253
La 0.319 0.758 0.604
La 0.000 0.000 0.000
Pr 0.332 0.516 0.821
Pr 0.668 0.484 0.179
In 0.000 0.500 0.500
In 0.664 0.742 0.931
In 0.324 0.998 0.354
In 0.676 0.002 0.646
In 0.336 0.258 0.069


The following is a PBE-GGA calculation of a geometry-optimized U2BiN2 structure, from Alexandria.

Values from the calculation:
The calculation puts the calculated total energy at -9.740 eV per atom. As for the size of the total moment: 0.607 μB per atom. The energy above the lowest structure with this stoichiometry comes out at 0.0 meV/atom. For the uncorrected formation energy, the calculation gives -1.12 eV per atom.

Cell: 6.877 6.877 6.877 Å, 147.04 147.04 47.30°
Last column: magnetic moment on the atom in μB.
Element x y z (fractional)
U 0.340 0.340 0.000  1.56
U 0.660 0.660 0.000  1.56
Bi 0.000 0.000 0.000  -0.15
N 0.250 0.750 0.500  -0.09
N 0.750 0.250 0.500  -0.09


The following is a PBE-GGA calculation of a geometry-optimized InCuHg2 structure, from Alexandria.

Values from the calculation:
The calculation puts the calculated total energy at -1.738 eV per atom. As for the size of the total moment: 0.000 μB per atom. The calculation puts the formation energy at 121.2 meV per atom.

Cell: 3.187 4.447 6.794 Å, 72.56 90.00 90.00°
Element x y z (fractional)
Cu 0.500 0.987 0.659
Hg 0.000 0.804 0.003
Hg 0.500 0.193 0.244
In 0.000 0.516 0.595


The following is a PBE-GGA calculation of a geometry-optimized Pm8Nd2Tm3 structure, from Alexandria.

Values from the calculation:
The calculation puts the calculated total energy at -4.669 eV per atom. As for the size of the total moment: 0.000 μB per atom. The calculation puts the formation energy at 19.8 meV per atom. The energy above the lowest structure with this stoichiometry comes out at 0.0 meV/atom.

Cell: 6.268 6.261 11.444 Å, 79.44 90.06 99.61°
Element x y z (fractional)
Pm 0.080 0.460 0.150
Pm 0.920 0.540 0.850
Pm 0.156 0.923 0.303
Pm 0.844 0.077 0.697
Pm 0.308 0.846 0.619
Pm 0.381 0.307 0.774
Pm 0.619 0.693 0.226
Pm 0.692 0.154 0.381
Nd 0.769 0.616 0.540
Nd 0.231 0.384 0.460
Tm 0.000 0.000 0.000
Tm 0.539 0.229 0.075
Tm 0.461 0.771 0.925


- Among the records above, which one has the lowest calculated total energy?
  U2BiN2


- calculated total energy of number 8 (Pm8Nd2Tm3)?
  -4.669 eV per atom


- What is the size of the total moment in the fifth record?
  0.000 μB per atom